This record from Alexandria describes crystalline LaPr5Sm8 at its relaxed geometry. The functional is PBE-GGA.

crystal system: tetragonal
E_form: 0.22 eV per atom
final energy: -63.6 eV/f.u.
distance to the lowest polymorph of the same formula: 237 kJ/mol of formula units

Structure (CIF):
```
data_LaPr5Sm8
_cell_length_a 9.7147
_cell_length_b 9.7147
_cell_length_c 10.5345
_cell_angle_alpha 90.00
_cell_angle_beta 90.00
_cell_angle_gamma 90.00
_space_group_name_H-M_alt 'I -4'
_space_group_IT_number 82
loop_
_space_group_symop_operation_xyz
'x,y,z'
'y,-x,-z'
'-x,-y,z'
'-y,x,-z'
'x+1/2,y+1/2,z+1/2'
'y+1/2,-x+1/2,-z+1/2'
'-x+1/2,-y+1/2,z+1/2'
'-y+1/2,x+1/2,-z+1/2'
loop_
_atom_site_label
_atom_site_fract_x
_atom_site_fract_y
_atom_site_fract_z
_atom_site_occupancy
La1 0.0000 0.0000 0.0000 1
Pr1 0.0000 0.5000 0.7500 1
Pr2 0.1086 0.7123 0.3226 1
Sm1 0.0742 0.8213 0.6428 1
Sm2 0.0789 0.6805 0.9947 1
```

---

This record from Alexandria describes crystalline La5PrSm6 at its relaxed geometry. The functional is PBE-GGA.

crystal system: monoclinic
E_form: 0.01 eV per atom
final energy: -57.6 eV/f.u.
distance to the lowest polymorph of the same formula: 0 kJ/mol of formula units

Structure (CIF):
```
data_La5PrSm6
_cell_length_a 6.3979
_cell_length_b 11.1014
_cell_length_c 12.1057
_cell_angle_alpha 90.00
_cell_angle_beta 100.18
_cell_angle_gamma 90.00
_space_group_name_H-M_alt 'C 1 2/m 1'
_space_group_IT_number 12
loop_
_space_group_symop_operation_xyz
'x,y,z'
'-x,-y,-z'
'-x,y,-z'
'x,-y,z'
'x+1/2,y+1/2,z'
'-x+1/2,-y+1/2,-z'
'-x+1/2,y+1/2,-z'
'x+1/2,-y+1/2,z'
loop_
_atom_site_label
_atom_site_fract_x
_atom_site_fract_y
_atom_site_fract_z
_atom_site_occupancy
La1 0.0000 0.0000 0.0000 1
La2 0.0000 0.1668 0.5000 1
La3 0.0000 0.3337 0.0000 1
Pr1 0.0000 0.5000 0.5000 1
Sm1 0.2490 0.3336 0.7498 1
Sm2 0.2496 0.0000 0.7497 1
```

---

This record from Alexandria describes crystalline LaPr5Sm8 at its relaxed geometry. The functional is PBE-GGA.

crystal system: monoclinic
E_form: 0.04 eV per atom
final energy: -66.0 eV/f.u.
distance to the lowest polymorph of the same formula: 0 kJ/mol of formula units

Structure (CIF):
```
data_LaPr5Sm8
_cell_length_a 17.8321
_cell_length_b 3.6148
_cell_length_c 17.2341
_cell_angle_alpha 90.00
_cell_angle_beta 118.07
_cell_angle_gamma 90.00
_space_group_name_H-M_alt 'C 1 m 1'
_space_group_IT_number 8
loop_
_space_group_symop_operation_xyz
'x,y,z'
'x,-y,z'
'x+1/2,y+1/2,z'
'x+1/2,-y+1/2,z'
loop_
_atom_site_label
_atom_site_fract_x
_atom_site_fract_y
_atom_site_fract_z
_atom_site_occupancy
La1 0.0000 0.0000 0.0000 1
Pr1 0.0004 0.5000 0.5000 1
Pr2 0.1454 0.0000 0.4393 1
Pr3 0.2141 0.0000 0.1442 1
Pr4 0.2860 0.5000 0.8558 1
Pr5 0.3553 0.5000 0.5607 1
Sm1 0.0780 0.5000 0.2220 1
Sm2 0.0791 0.0000 0.7214 1
Sm3 0.1465 0.5000 0.9386 1
Sm4 0.2153 0.5000 0.6450 1
Sm5 0.2854 0.0000 0.3550 1
Sm6 0.3535 0.0000 0.0614 1
Sm7 0.4213 0.5000 0.2786 1
Sm8 0.4223 0.0000 0.7780 1
```

---

This record from Alexandria describes crystalline La5PrSm8 at its relaxed geometry. The functional is PBE-GGA.

crystal system: tetragonal
E_form: 0.21 eV per atom
final energy: -64.2 eV/f.u.
distance to the lowest polymorph of the same formula: 208 kJ/mol of formula units

Structure (CIF):
```
data_La5PrSm8
_cell_length_a 9.7514
_cell_length_b 9.7514
_cell_length_c 10.4716
_cell_angle_alpha 90.00
_cell_angle_beta 90.00
_cell_angle_gamma 90.00
_space_group_name_H-M_alt 'I -4'
_space_group_IT_number 82
loop_
_space_group_symop_operation_xyz
'x,y,z'
'y,-x,-z'
'-x,-y,z'
'-y,x,-z'
'x+1/2,y+1/2,z+1/2'
'y+1/2,-x+1/2,-z+1/2'
'-x+1/2,-y+1/2,z+1/2'
'-y+1/2,x+1/2,-z+1/2'
loop_
_atom_site_label
_atom_site_fract_x
_atom_site_fract_y
_atom_site_fract_z
_atom_site_occupancy
La1 0.0000 0.0000 0.0000 1
La2 0.1074 0.7847 0.5740 1
Pr1 0.0000 0.5000 0.2500 1
Sm1 0.0742 0.6764 0.8939 1
Sm2 0.0777 0.8206 0.2421 1
```